First-principles (SCAN) data for a PBEsol-optimized structure of IrOs2Rh, as listed in the Alexandria database.

```
data_IrOs2Rh
_chemical_formula_sum 'Ir1 Os2 Rh1'
_symmetry_space_group_name_H-M 'P 1'
_symmetry_Int_Tables_number 1
_symmetry_space_group_name_Hall 'P 1'
_cell_length_a 3.818
_cell_length_b 3.818
_cell_length_c 4.658
_cell_angle_alpha 114.19
_cell_angle_beta 114.19
_cell_angle_gamma 90.00
loop_
_atom_site_label
_atom_site_type_symbol
_atom_site_fract_x
_atom_site_fract_y
_atom_site_fract_z
Ir1 Ir 0.250 0.750 0.500
Rh1 Rh 0.500 0.500 0.000
Os1 Os 0.750 0.250 0.500
Os2 Os 0.000 0.000 0.000
```

Its total energy is -248.333 eV/cell. As for the energy above the lowest structure with this stoichiometry: 0.031 eV per atom.